Density functional theory data (PBE) for an optimized crystal structure of Fe2AuCl.

Summary:
As for the total energy: -21.67 eV per cell. The value obtained for the volume is 79.8 Å³/cell.

Cell lengths 4.841, 4.841, 7.428 Å; angles 126.04, 126.04, 35.66 degrees
Sites, in units of the cell vectors:
Fe: 0.200 0.200 0.345
Fe: 0.800 0.800 0.655
Au: 0.000 0.000 0.500
Cl: 0.500 0.500 0.000

***

Density functional theory data (PBE) for an optimized crystal structure of Ac4LaTh3As8.

Summary:
As for the total energy: -104.35 eV per cell. The energy of formation is -1.4709 eV/atom. The value obtained for the volume is 483.9 Å³/cell.

Cell lengths 8.832, 8.832, 8.832 Å; angles 59.70, 59.70, 59.70 degrees
Sites, in units of the cell vectors:
Ac: 0.000 0.000 0.000
Ac: 0.000 0.500 0.500
Ac: 0.500 0.000 0.500
Ac: 0.500 0.500 0.000
La: 0.500 0.500 0.500
Th: 0.000 0.000 0.500
Th: 0.000 0.500 0.000
Th: 0.500 0.000 0.000
As: 0.239 0.747 0.747
As: 0.244 0.244 0.244
As: 0.253 0.253 0.761
As: 0.253 0.761 0.253
As: 0.747 0.239 0.747
As: 0.747 0.747 0.239
As: 0.756 0.756 0.756
As: 0.761 0.253 0.253

***

Density functional theory data (PBE) for an optimized crystal structure of Tl2Cu2AgBr6.

Summary:
As for the total energy: -31.12 eV per cell. The value obtained for the volume is 347.8 Å³/cell.

Cell lengths 7.962, 7.962, 7.490 Å; angles 113.39, 113.39, 55.00 degrees
Sites, in units of the cell vectors:
Tl: 0.233 0.233 0.206
Tl: 0.767 0.767 0.794
Cu: 0.449 0.449 0.789
Cu: 0.551 0.551 0.211
Ag: 0.000 0.000 0.500
Br: 0.192 0.692 0.205
Br: 0.266 0.266 0.671
Br: 0.308 0.808 0.795
Br: 0.692 0.192 0.205
Br: 0.734 0.734 0.329
Br: 0.808 0.308 0.795

***

Density functional theory data (PBE) for an optimized crystal structure of K4In.

Summary:
As for the total energy: -6.70 eV per cell. The energy of formation is 0.0854 eV/atom. The value obtained for the volume is 335.1 Å³/cell.

Cell lengths 6.946, 6.946, 6.946 Å; angles 90.00, 90.00, 90.00 degrees
Sites, in units of the cell vectors:
K: 0.000 0.000 0.000
K: 0.000 0.500 0.500
K: 0.500 0.000 0.500
K: 0.500 0.500 0.000
In: 0.500 0.500 0.500

***

Density functional theory data (PBE) for an optimized crystal structure of Mg2InGeB.

Summary:
As for the total energy: -10.22 eV per cell. The energy of formation is 1.4012 eV/atom. The value obtained for the volume is 144.8 Å³/cell.

Cell lengths 5.281, 5.281, 5.190 Å; angles 90.00, 90.00, 90.00 degrees
Sites, in units of the cell vectors:
Mg: 0.000 0.500 0.000
Mg: 0.500 0.000 0.000
In: 0.000 0.000 0.000
Ge: 0.000 0.000 0.500
B: 0.500 0.500 0.500

***

Density functional theory data (PBE) for an optimized crystal structure of SmTlAg2I6.

Summary:
As for the total energy: -29.47 eV per cell. The value obtained for the volume is 395.3 Å³/cell.

Cell lengths 8.577, 8.577, 8.577 Å; angles 55.09, 55.09, 55.09 degrees
Sites, in units of the cell vectors:
Sm: 0.000 0.000 0.000
Tl: 0.515 0.515 0.515
Ag: 0.332 0.332 0.332
Ag: 0.819 0.819 0.819
I: 0.066 0.416 0.734
I: 0.178 0.973 0.580
I: 0.416 0.734 0.066
I: 0.580 0.178 0.973
I: 0.734 0.066 0.416
I: 0.973 0.580 0.178

***

Density functional theory data (PBE) for an optimized crystal structure of CaCd2Hg.

Summary:
As for the total energy: -5.17 eV per cell. The energy of formation is -0.2595 eV/atom. The value obtained for the volume is 101.3 Å³/cell.

Cell lengths 3.691, 3.712, 7.395 Å; angles 90.00, 90.00, 90.00 degrees
Sites, in units of the cell vectors:
Ca: 0.000 0.000 0.000
Cd: 0.000 0.000 0.493
Cd: 0.500 0.500 0.718
Hg: 0.500 0.500 0.255

***

Density functional theory data (PBE) for an optimized crystal structure of Ba2Sr2Y.

Summary:
As for the total energy: -23.84 eV per cell. The energy of formation is 0.3504 eV/atom. The value obtained for the volume is 516.6 Å³/cell.

Cell lengths 10.556, 10.556, 4.636 Å; angles 90.00, 90.00, 90.00 degrees
Sites, in units of the cell vectors:
Ba: 0.169 0.331 0.000
Ba: 0.331 0.831 0.000
Ba: 0.669 0.169 0.000
Ba: 0.831 0.669 0.000
Sr: 0.135 0.635 0.500
Sr: 0.365 0.135 0.500
Sr: 0.635 0.865 0.500
Sr: 0.865 0.365 0.500
Y: 0.000 0.000 0.500
Y: 0.500 0.500 0.500

***

Question: Which value of volume does entry 2 give?
Answer: 483.9 Å³/cell

***

Question: Which formula does entry 7 have?
Answer: CaCd2Hg